Entry from Alexandria: a relaxed structure of CaZnP2Pd5 (PBE-GGA).

Results
Energy of formation from the pure elements   -0.537 eV per atom
Uncorrected energy   -4.988 eV per atom
Magnetic moment   0.00 Bohr magnetons per cell
Space-group type   P4/mmm (123)

Cell lengths 4.1320, 4.1320, 9.9255 Å; angles 90.00, 90.00, 90.00 degrees
Last column: nearest neighbours and their distance in Å.
Positions (direct):
1 Ca 0.0000 0.0000 0.5000  4 Pd 2.92
2 Zn 0.0000 0.0000 0.0000  8 Pd 2.61
3 P 0.5000 0.5000 0.2714  5 Pd 2.27-2.34
4 P 0.5000 0.5000 0.7286  5 Pd 2.27-2.34
5 Pd 0.0000 0.5000 0.1610  2 P 2.34, 2 Zn 2.61
6 Pd 0.5000 0.0000 0.1610  2 P 2.34, 2 Zn 2.61
7 Pd 0.0000 0.5000 0.8390  2 P 2.34, 2 Zn 2.61
8 Pd 0.5000 0.0000 0.8390  2 P 2.34, 2 Zn 2.61
9 Pd 0.5000 0.5000 0.5000  2 P 2.27